No. 1
Below is a geometry-optimized Sr2Cd5In3 structure, with properties calculated at the PBE level.

The space group is P-4m2 (No. 115) and the conventional cell measures 4.694, 4.694 and 12.763 Å, with angles of 90.00, 90.00 and 90.00 degrees. Symmetry generates all atoms from Sr at (0.000, 0.500, 0.248), Cd at (0.000, 0.000, 0.500), Cd at (0.000, 0.500, 0.638), Cd at (0.500, 0.500, 0.000), Cd at (0.500, 0.500, 0.500), In at (0.000, 0.000, 0.000) and In at (0.000, 0.500, 0.858).

The density of states at the Fermi level is 4.92 states/eV/f.u. As for the total energy: -18.76 eV per cell. Its crystal system is tetragonal.


No. 2
Below is a geometry-optimized SrCdIn2 structure, with properties calculated at the PBE level.

The space group is P4/mmm (No. 123) and the conventional cell measures 4.824, 4.824 and 4.886 Å, with angles of 90.00, 90.00 and 90.00 degrees. Symmetry generates all atoms from Sr at (0.000, 0.000, 0.000), Cd at (0.500, 0.500, 0.000) and In at (0.000, 0.500, 0.500).

The density of states at the Fermi level is 3.14 states/eV/f.u. As for the total energy: -9.08 eV per cell. Its crystal system is tetragonal.


No. 3
Below is a geometry-optimized Sr2CdIn structure, with properties calculated at the PBE level.

The space group is Fm-3m (No. 225) and the conventional cell measures 8.141, 8.141 and 8.141 Å, with angles of 90.00, 90.00 and 90.00 degrees. Symmetry generates all atoms from Sr at (0.250, 0.250, 0.250), Cd at (0.000, 0.000, 0.000) and In at (0.000, 0.000, 0.500).

The density of states at the Fermi level is 3.86 states/eV/f.u. Its offset from the most stable computed form is 0 meV per atom. As for the total energy: -34.38 eV per cell. Its crystal system is cubic.


No. 4
Below is a geometry-optimized Sr5Cd2In structure, with properties calculated at the PBE level.

The space group is I4/mcm (No. 140) and the conventional cell measures 8.614, 8.614 and 17.079 Å, with angles of 90.00, 90.00 and 90.00 degrees. Symmetry generates all atoms from Sr at (0.000, 0.000, 0.000), Sr at (0.175, 0.325, 0.149), Cd at (0.119, 0.381, 0.500) and In at (0.000, 0.000, 0.250).

The density of states at the Fermi level is 9.36 states/eV/f.u. As for the total energy: -61.08 eV per cell. Its crystal system is tetragonal.


No. 5
Below is a geometry-optimized SrCdIn2 structure, with properties calculated at the PBE level.

The space group is R-3m (No. 166, hexagonal axes) and the conventional cell measures 4.9169, 4.9169 and 17.2725 Å, with angles of 90.00, 90.00 and 120.00 degrees. Symmetry generates all atoms from Sr at (0.0000, 0.0000, 0.0000), Cd at (0.0000, 0.0000, 0.5000) and In at (0.0000, 0.0000, 0.2219).

The density of states at the Fermi level is 1.80 states/eV/f.u. As for the total energy: -27.51 eV per cell. Its crystal system is trigonal.


No. 6
Below is a geometry-optimized Sr6CdIn5 structure, with properties calculated at the PBE level.

The space group is P2/m (No. 10) and the conventional cell measures 5.734, 8.214 and 9.055 Å, with angles of 90.00, 108.00 and 90.00 degrees. Symmetry generates all atoms from Sr at (0.000, 0.250, 0.000), Sr at (0.334, 0.249, 0.667), Cd at (0.500, 0.500, 0.000), In at (0.166, 0.000, 0.334), In at (0.167, 0.500, 0.336) and In at (0.500, 0.000, 0.000).

The density of states at the Fermi level is 9.35 states/eV/f.u. As for the total energy: -29.70 eV per cell. Its crystal system is monoclinic.


No. 7
Below is a geometry-optimized SrCdIn2 structure, with properties calculated at the PBE level.

The space group is Pm (No. 6) and the conventional cell measures 3.679, 5.144 and 6.280 Å, with angles of 90.00, 90.12 and 90.00 degrees. Symmetry generates all atoms from Sr at (0.000, 0.000, 0.000), Cd at (0.500, 0.500, 0.247), In at (0.499, 0.500, 0.758) and In at (0.501, 0.000, 0.495).

The density of states at the Fermi level is 2.24 states/eV/f.u. As for the total energy: -8.99 eV per cell. Its crystal system is monoclinic.


No. 8
Below is a geometry-optimized SrCd9In2 structure, with properties calculated at the PBE level.

The space group is P6/mmm (No. 191) and the conventional cell measures 9.8607, 9.8607 and 3.6573 Å, with angles of 90.00, 90.00 and 120.00 degrees. Symmetry generates all atoms from Sr at (0.0000, 0.0000, 0.0000), Cd at (0.0000, 0.5000, 0.0000), Cd at (0.1786, 0.3572, 0.5000) and In at (0.3333, 0.6667, 0.0000).

The density of states at the Fermi level is 4.37 states/eV/f.u. Its offset from the most stable computed form is 62 meV per atom. As for the total energy: -15.87 eV per cell. Its crystal system is hexagonal.